PBE FeCo2Se, relaxed; VASP energy = -50.63 eV for the cell shown
1.0
3.0044 0.0000 0.0000
0.0000 4.0313 0.0000
0.0000 0.0000 8.2392
Fe Co Se
2 4 2
Cartesian
0.0000 0.0000 0.0000
1.5022 2.0157 4.1196
0.0000 0.0000 4.3438
0.0000 2.0157 6.2745
1.5022 0.0000 2.1549
1.5022 2.0157 0.2242
0.0000 2.0157 2.1089
1.5022 0.0000 6.2285



PBE SnSe2N, relaxed; VASP energy = -46.33 eV for the cell shown
1.0
3.2674 0.0000 0.0000
-1.6337 2.8296 0.0000
0.0000 0.0000 26.2279
Sn Se N
3 6 3
Cartesian
0.0000 0.0000 0.0000
0.0000 1.8864 17.4852
1.6337 0.9432 8.7426
0.0000 0.0000 2.9601
0.0000 0.0000 23.2678
0.0000 1.8864 14.5252
0.0000 1.8864 20.4453
1.6337 0.9432 5.7825
1.6337 0.9432 11.7027
0.0000 0.0000 13.1139
0.0000 1.8864 4.3713
1.6337 0.9432 21.8565



PBE LaMnOs2, relaxed; calculated formation energy = 0.341 eV per atom; VASP energy = -35.19 eV for the cell shown
1.0
2.8716 0.0000 0.0000
0.0000 3.6897 0.0000
0.0000 0.0000 7.1525
La Mn Os
1 1 2
Cartesian
0.0000 0.0000 0.0000
1.4358 1.8448 2.3121
0.0000 0.0000 3.7011
1.4358 1.8448 4.8465